# 1
The following is a PBE calculation of crystalline CuIrRuO6 at its relaxed geometry, from Alexandria via LeMat-Bulk.

Results
As for the total energy: -6.43 eV per atom. The total magnetization is 0.0 μB/f.u.

CIF file:
```
data_CuIrRuO6
_cell_length_a 5.0723
_cell_length_b 5.0723
_cell_length_c 8.8346
_cell_angle_alpha 90.00
_cell_angle_beta 90.00
_cell_angle_gamma 120.00
_space_group_name_H-M_alt 'P -3 1 c'
_space_group_IT_number 163
_space_group_name_Hall '-P 3 2c'
loop_
_atom_site_label
_atom_site_fract_x
_atom_site_fract_y
_atom_site_fract_z
Cu1 0.0000 0.0000 0.0000
Ir1 0.3333 0.6667 0.2500
Ru1 0.3333 0.6667 0.7500
O1 0.0011 0.3554 0.6265
```


# 2
The following is a PBE calculation of crystalline Cu2IrRuO8 at its relaxed geometry, from Alexandria via LeMat-Bulk.

Results
As for the total energy: -5.89 eV per atom. The total magnetization is 0.0 μB/f.u.

CIF file:
```
data_Cu2IrRuO8
_cell_length_a 6.1706
_cell_length_b 6.1706
_cell_length_c 6.8852
_cell_angle_alpha 90.00
_cell_angle_beta 90.00
_cell_angle_gamma 90.00
_space_group_name_H-M_alt 'I -4 m 2'
_space_group_IT_number 119
_space_group_name_Hall 'I -4 -2'
loop_
_atom_site_label
_atom_site_fract_x
_atom_site_fract_y
_atom_site_fract_z
Cu1 0.0000 0.0000 0.0000
Cu2 0.0000 0.5000 0.2500
Ir1 0.0000 0.0000 0.5000
Ru1 0.0000 0.5000 0.7500
O1 0.0000 0.1928 0.7882
O2 0.0000 0.3095 0.4691
```


# 3
The following is a PBE calculation of crystalline ScCuIrO6 at its relaxed geometry, from Alexandria via LeMat-Bulk.

Results
As for the total energy: -6.69 eV per atom. The total magnetization is 0.0 μB/f.u.

CIF file:
```
data_ScCuIrO6
_cell_length_a 5.1604
_cell_length_b 5.1604
_cell_length_c 8.7074
_cell_angle_alpha 90.00
_cell_angle_beta 90.00
_cell_angle_gamma 120.00
_space_group_name_H-M_alt 'P -3 1 c'
_space_group_IT_number 163
_space_group_name_Hall '-P 3 2c'
loop_
_atom_site_label
_atom_site_fract_x
_atom_site_fract_y
_atom_site_fract_z
Sc1 0.3333 0.6667 0.2500
Cu1 0.0000 0.0000 0.0000
Ir1 0.3333 0.6667 0.7500
O1 0.0227 0.3570 0.6257
```


# 4
The following is a PBE calculation of crystalline CuIrSeO5 at its relaxed geometry, from Alexandria via LeMat-Bulk.

Results
As for the total energy: -5.65 eV per atom. The total magnetization is 0.0 μB/f.u.

CIF file:
```
data_CuIrSeO5
_cell_length_a 7.2593
_cell_length_b 13.6612
_cell_length_c 5.8999
_cell_angle_alpha 90.00
_cell_angle_beta 121.23
_cell_angle_gamma 90.00
_space_group_name_H-M_alt 'C 1 2/c 1'
_space_group_IT_number 15
loop_
_space_group_symop_operation_xyz
'x,y,z'
'-x,-y,-z'
'-x,y,-z+1/2'
'x,-y,z+1/2'
'x+1/2,y+1/2,z'
'-x+1/2,-y+1/2,-z'
'-x+1/2,y+1/2,-z+1/2'
'x+1/2,-y+1/2,z+1/2'
loop_
_atom_site_label
_atom_site_fract_x
_atom_site_fract_y
_atom_site_fract_z
Cu1 0.2500 0.2500 0.0000
Ir1 0.0000 0.0317 0.7500
Se1 0.0000 0.3877 0.2500
O1 0.0000 0.1674 0.7500
O2 0.0234 0.3151 0.0329
O3 0.1854 0.0267 0.1563
```


# 5
The following is a PBE calculation of crystalline CuSiIrO6 at its relaxed geometry, from Alexandria via LeMat-Bulk.

Results
As for the total energy: -6.52 eV per atom. The total magnetization is 0.1 μB/f.u.

CIF file:
```
data_CuSiIrO6
_cell_length_a 4.9104
_cell_length_b 4.9104
_cell_length_c 8.6833
_cell_angle_alpha 90.00
_cell_angle_beta 90.00
_cell_angle_gamma 120.00
_space_group_name_H-M_alt 'P -3 1 c'
_space_group_IT_number 163
_space_group_name_Hall '-P 3 2c'
loop_
_atom_site_label
_atom_site_fract_x
_atom_site_fract_y
_atom_site_fract_z
Cu1 0.0000 0.0000 0.0000
Si1 0.3333 0.6667 0.2500
Ir1 0.3333 0.6667 0.7500
O1 0.0229 0.3687 0.1348
```


# 6
The following is a PBE calculation of crystalline Sr3Cu2IrO9 at its relaxed geometry, from Alexandria via LeMat-Bulk.

Results
As for the total energy: -5.95 eV per atom. The total magnetization is 2.4 μB/f.u.

CIF file:
```
data_Sr3Cu2IrO9
_cell_length_a 5.5634
_cell_length_b 5.5634
_cell_length_c 6.9085
_cell_angle_alpha 90.00
_cell_angle_beta 90.00
_cell_angle_gamma 120.00
_space_group_name_H-M_alt 'P -3 m 1'
_space_group_IT_number 164
_space_group_name_Hall '-P 3 2"'
loop_
_atom_site_label
_atom_site_fract_x
_atom_site_fract_y
_atom_site_fract_z
Sr1 0.0000 0.0000 0.0000
Sr2 0.3333 0.6667 0.6830
Cu1 0.3333 0.6667 0.1541
Ir1 0.0000 0.0000 0.5000
O1 0.0000 0.5000 0.0000
O2 0.1646 0.3292 0.3396
```


# 7
The following is a PBE calculation of crystalline SrCuIrO5 at its relaxed geometry, from Alexandria via LeMat-Bulk.

Results
As for the total energy: -6.16 eV per atom. The total magnetization is 0.0 μB/f.u.

CIF file:
```
data_SrCuIrO5
_cell_length_a 6.7366
_cell_length_b 9.5117
_cell_length_c 7.3096
_cell_angle_alpha 90.00
_cell_angle_beta 113.06
_cell_angle_gamma 90.00
_space_group_name_H-M_alt 'C 1 2/c 1'
_space_group_IT_number 15
loop_
_space_group_symop_operation_xyz
'x,y,z'
'-x,-y,-z'
'-x,y,-z+1/2'
'x,-y,z+1/2'
'x+1/2,y+1/2,z'
'-x+1/2,-y+1/2,-z'
'-x+1/2,y+1/2,-z+1/2'
'x+1/2,-y+1/2,z+1/2'
loop_
_atom_site_label
_atom_site_fract_x
_atom_site_fract_y
_atom_site_fract_z
Sr1 0.0000 0.1640 0.2500
Cu1 0.0000 0.1904 0.7500
Ir1 0.0000 0.5000 0.0000
O1 0.0000 0.4268 0.2500
O2 0.0972 0.3102 0.5965
O3 0.2039 0.0557 0.9229
```


# 8
The following is a PBE calculation of crystalline Sr3Cu2IrO6 at its relaxed geometry, from Alexandria via LeMat-Bulk.

Results
As for the total energy: -5.78 eV per atom. The total magnetization is 1.1 μB/f.u.

CIF file:
```
data_Sr3Cu2IrO6
_cell_length_a 5.7449
_cell_length_b 5.7449
_cell_length_c 6.3646
_cell_angle_alpha 90.00
_cell_angle_beta 90.00
_cell_angle_gamma 120.00
_space_group_name_H-M_alt 'P -3 m 1'
_space_group_IT_number 164
_space_group_name_Hall '-P 3 2"'
loop_
_atom_site_label
_atom_site_fract_x
_atom_site_fract_y
_atom_site_fract_z
Sr1 0.0000 0.0000 0.0000
Sr2 0.3333 0.6667 0.6269
Cu1 0.3333 0.6667 0.1503
Ir1 0.0000 0.0000 0.5000
O1 0.1647 0.3294 0.3139
```


# 9
The following is a PBE calculation of crystalline Sr3Cu2IrO8 at its relaxed geometry, from Alexandria via LeMat-Bulk.

Results
As for the total energy: -5.87 eV per atom. The total magnetization is 5.1 μB/f.u.

CIF file:
```
data_Sr3Cu2IrO8
_cell_length_a 5.5985
_cell_length_b 5.5985
_cell_length_c 7.3190
_cell_angle_alpha 90.00
_cell_angle_beta 90.00
_cell_angle_gamma 120.00
_space_group_name_H-M_alt 'P -3 m 1'
_space_group_IT_number 164
_space_group_name_Hall '-P 3 2"'
loop_
_atom_site_label
_atom_site_fract_x
_atom_site_fract_y
_atom_site_fract_z
Sr1 0.0000 0.0000 0.0000
Sr2 0.3333 0.6667 0.6322
Cu1 0.3333 0.6667 0.1920
Ir1 0.0000 0.0000 0.5000
O1 0.1621 0.3242 0.3380
O2 0.3333 0.6667 0.9498
```


# 10
The following is a PBE calculation of crystalline SrCuIrO6 at its relaxed geometry, from Alexandria via LeMat-Bulk.

Results
As for the total energy: -5.99 eV per atom. The total magnetization is 1.9 μB/f.u.

CIF file:
```
data_SrCuIrO6
_cell_length_a 5.4971
_cell_length_b 8.7095
_cell_length_c 5.2995
_cell_angle_alpha 90.00
_cell_angle_beta 94.34
_cell_angle_gamma 90.00
_space_group_name_H-M_alt 'C 1 2 1'
_space_group_IT_number 5
loop_
_space_group_symop_operation_xyz
'x,y,z'
'-x,y,-z'
'x+1/2,y+1/2,z'
'-x+1/2,y+1/2,-z'
loop_
_atom_site_label
_atom_site_fract_x
_atom_site_fract_y
_atom_site_fract_z
Sr1 0.0000 0.0000 0.0000
Cu1 0.0000 0.6927 0.5000
Ir1 0.0000 0.3500 0.5000
O1 0.1206 0.5305 0.6983
O2 0.1559 0.2301 0.7427
O3 0.1939 0.8432 0.6736
```


# 11
The following is a PBE calculation of crystalline Sr2Cu2IrO6 at its relaxed geometry, from Alexandria via LeMat-Bulk.

Results
As for the total energy: -5.95 eV per atom. The total magnetization is 1.3 μB/f.u.

CIF file:
```
data_Sr2Cu2IrO6
_cell_length_a 5.8607
_cell_length_b 5.8607
_cell_length_c 15.4126
_cell_angle_alpha 90.00
_cell_angle_beta 90.00
_cell_angle_gamma 120.00
_space_group_name_H-M_alt 'R -3 m'
_space_group_IT_number 166
_space_group_name_Hall '-R 3 2"'
loop_
_atom_site_label
_atom_site_fract_x
_atom_site_fract_y
_atom_site_fract_z
Sr1 0.0000 0.0000 0.2154
Cu1 0.0000 0.0000 0.4115
Ir1 0.0000 0.0000 0.0000
O1 0.0326 0.5163 0.7493
```


# 12
The following is a PBE calculation of crystalline TaCuIrO6 at its relaxed geometry, from Alexandria via LeMat-Bulk.

Results
As for the total energy: -7.48 eV per atom. The total magnetization is 1.0 μB/f.u.

CIF file:
```
data_TaCuIrO6
_cell_length_a 4.6858
_cell_length_b 4.6858
_cell_length_c 9.2459
_cell_angle_alpha 90.00
_cell_angle_beta 90.00
_cell_angle_gamma 90.00
_space_group_name_H-M_alt 'P 42 n m'
_space_group_IT_number 102
loop_
_space_group_symop_operation_xyz
'x,y,z'
'-y+1/2,x+1/2,z+1/2'
'-x,-y,z'
'y+1/2,-x+1/2,z+1/2'
'-x+1/2,y+1/2,z+1/2'
'y,x,z'
'x+1/2,-y+1/2,z+1/2'
'-y,-x,z'
loop_
_atom_site_label
_atom_site_fract_x
_atom_site_fract_y
_atom_site_fract_z
Ta1 0.0000 0.0000 0.0000
Cu1 0.0000 0.0000 0.3306
Ir1 0.0000 0.0000 0.6678
O1 0.1952 0.1952 0.8342
O2 0.1992 0.1992 0.5092
O3 0.2082 0.2082 0.1564
```


# 13
The following is a PBE calculation of crystalline Tb2CuIrO6 at its relaxed geometry, from Alexandria via LeMat-Bulk.

Results
As for the total energy: -7.22 eV per atom. The total magnetization is 1.9 μB/f.u.

CIF file:
```
data_Tb2CuIrO6
_cell_length_a 5.5696
_cell_length_b 5.5696
_cell_length_c 13.9612
_cell_angle_alpha 90.00
_cell_angle_beta 90.00
_cell_angle_gamma 120.00
_space_group_name_H-M_alt 'R 3'
_space_group_IT_number 146
_space_group_name_Hall 'R 3'
loop_
_atom_site_label
_atom_site_fract_x
_atom_site_fract_y
_atom_site_fract_z
Tb1 0.0000 0.0000 0.0000
Tb2 0.0000 0.0000 0.4952
Cu1 0.0000 0.0000 0.2257
Ir1 0.0000 0.0000 0.7130
O1 0.0615 0.3416 0.7856
O2 0.0678 0.7059 0.2887
```


# 14
The following is a PBE calculation of crystalline TbCuIrO6 at its relaxed geometry, from Alexandria via LeMat-Bulk.

Results
As for the total energy: -6.47 eV per atom. The total magnetization is 0.0 μB/f.u.

CIF file:
```
data_TbCuIrO6
_cell_length_a 5.4226
_cell_length_b 5.4226
_cell_length_c 8.4901
_cell_angle_alpha 90.00
_cell_angle_beta 90.00
_cell_angle_gamma 120.00
_space_group_name_H-M_alt 'P -3 1 c'
_space_group_IT_number 163
_space_group_name_Hall '-P 3 2c'
loop_
_atom_site_label
_atom_site_fract_x
_atom_site_fract_y
_atom_site_fract_z
Tb1 0.3333 0.6667 0.2500
Cu1 0.0000 0.0000 0.0000
Ir1 0.3333 0.6667 0.7500
O1 0.0446 0.3669 0.6215
```


# 15
The following is a PBE calculation of crystalline CuTeIrO6 at its relaxed geometry, from Alexandria via LeMat-Bulk.

Results
As for the total energy: -5.81 eV per atom. The total magnetization is 0.0 μB/f.u.

CIF file:
```
data_CuTeIrO6
_cell_length_a 5.2201
_cell_length_b 5.2201
_cell_length_c 8.9503
_cell_angle_alpha 90.00
_cell_angle_beta 90.00
_cell_angle_gamma 120.00
_space_group_name_H-M_alt 'P -3 1 c'
_space_group_IT_number 163
_space_group_name_Hall '-P 3 2c'
loop_
_atom_site_label
_atom_site_fract_x
_atom_site_fract_y
_atom_site_fract_z
Cu1 0.0000 0.0000 0.0000
Te1 0.3333 0.6667 0.2500
Ir1 0.3333 0.6667 0.7500
O1 0.0020 0.3548 0.6303
```


# 16
The following is a PBE calculation of crystalline TiCuIrO6 at its relaxed geometry, from Alexandria via LeMat-Bulk.

Results
As for the total energy: -6.93 eV per atom. The total magnetization is 0.0 μB/f.u.

CIF file:
```
data_TiCuIrO6
_cell_length_a 5.0208
_cell_length_b 5.0208
_cell_length_c 8.8424
_cell_angle_alpha 90.00
_cell_angle_beta 90.00
_cell_angle_gamma 120.00
_space_group_name_H-M_alt 'P -3 1 c'
_space_group_IT_number 163
_space_group_name_Hall '-P 3 2c'
loop_
_atom_site_label
_atom_site_fract_x
_atom_site_fract_y
_atom_site_fract_z
Ti1 0.3333 0.6667 0.2500
Cu1 0.0000 0.0000 0.0000
Ir1 0.3333 0.6667 0.7500
O1 0.0016 0.3468 0.6291
```


# 17
The following is a PBE calculation of crystalline Tl2CuIrO at its relaxed geometry, from Alexandria via LeMat-Bulk.

Results
As for the total energy: -4.36 eV per atom. The total magnetization is 0.0 μB/f.u.

CIF file:
```
data_Tl2CuIrO
_cell_length_a 5.5896
_cell_length_b 5.5896
_cell_length_c 3.6885
_cell_angle_alpha 90.00
_cell_angle_beta 90.00
_cell_angle_gamma 90.00
_space_group_name_H-M_alt 'P 4/m m m'
_space_group_IT_number 123
_space_group_name_Hall '-P 4 2'
loop_
_atom_site_label
_atom_site_fract_x
_atom_site_fract_y
_atom_site_fract_z
Tl1 0.0000 0.5000 0.0000
Cu1 0.0000 0.0000 0.5000
Ir1 0.5000 0.5000 0.0000
O1 0.5000 0.5000 0.5000
```


# 18
The following is a PBE calculation of crystalline TlCu2IrO8 at its relaxed geometry, from Alexandria via LeMat-Bulk.

Results
As for the total energy: -5.09 eV per atom. The total magnetization is 1.2 μB/f.u.

CIF file:
```
data_TlCu2IrO8
_cell_length_a 6.5851
_cell_length_b 6.5851
_cell_length_c 6.7019
_cell_angle_alpha 90.00
_cell_angle_beta 90.00
_cell_angle_gamma 90.00
_space_group_name_H-M_alt 'I -4 m 2'
_space_group_IT_number 119
_space_group_name_Hall 'I -4 -2'
loop_
_atom_site_label
_atom_site_fract_x
_atom_site_fract_y
_atom_site_fract_z
Tl1 0.0000 0.0000 0.0000
Cu1 0.0000 0.0000 0.5000
Cu2 0.0000 0.5000 0.7500
Ir1 0.0000 0.5000 0.2500
O1 0.0000 0.2083 0.3052
O2 0.0000 0.3368 0.9779
```


# 19
The following is a PBE calculation of crystalline Tl2CuIrO8 at its relaxed geometry, from Alexandria via LeMat-Bulk.

Results
As for the total energy: -5.23 eV per atom. The total magnetization is 0.8 μB/f.u.

CIF file:
```
data_Tl2CuIrO8
_cell_length_a 4.7943
_cell_length_b 5.0189
_cell_length_c 6.6682
_cell_angle_alpha 87.18
_cell_angle_beta 86.35
_cell_angle_gamma 83.39
_space_group_name_H-M_alt 'P -1'
_space_group_IT_number 2
loop_
_space_group_symop_operation_xyz
'x,y,z'
'-x,-y,-z'
loop_
_atom_site_label
_atom_site_fract_x
_atom_site_fract_y
_atom_site_fract_z
Tl1 0.0643 0.0382 0.2400
Cu1 0.5000 0.5000 0.0000
Ir1 0.5000 0.5000 0.5000
O1 0.2461 0.3414 0.6676
O2 0.2592 0.8185 0.9793
O3 0.2611 0.8386 0.5083
O4 0.3208 0.4109 0.2535
```


no.,formation energy (no corrections) (eV per atom)
1,-0.65
2,-0.39
3,-1.24
4,-0.50
5,-1.17
6,-1.50
7,-1.23
8,-1.46
9,-1.46
10,-1.06
11,-1.39
12,-1.42
13,-2.03
14,-1.21
15,-0.72
16,-1.30
17,0.17
18,-0.16
19,-0.46